# 1
24
Lattice="1.4943 -5.0559 0.0000 1.4943 5.0559 0.0000 0.0000 0.0000 19.0615" Properties=species:S:1:pos:R:3 comment="PBE+U Fe5O7, relaxed" density_g_cm3=4.51 crystal_system=orthorhombic space_group="Cmcm, No. 63" relative_energy_ev_per_atom=0.000 pbc="T T T"
O 1.4943 4.0045 1.9098
O 1.4943 1.4986 0.4943
O 1.4943 -3.6104 6.5878
O 1.4943 1.4986 9.0364
O 1.4943 3.6104 16.1185
O 1.4943 -4.0045 17.1517
O 1.4943 0.5279 14.2961
O 1.4943 -1.4986 10.0251
O 1.4943 -3.6104 2.9430
O 1.4943 -0.5279 4.7654
O 1.4943 -4.0045 11.4406
O 1.4943 4.0045 7.6209
O 1.4943 3.6104 12.4738
O 1.4943 -1.4986 18.5672
Fe 1.4943 -0.1914 12.6171
Fe 1.4943 2.4268 17.6303
Fe 1.4943 -2.4268 8.0996
Fe 1.4943 2.4268 10.9620
Fe 0.0000 0.0000 9.5308
Fe 1.4943 -0.1914 15.9752
Fe 0.0000 0.0000 0.0000
Fe 1.4943 0.1914 6.4444
Fe 1.4943 -2.4268 1.4312
Fe 1.4943 0.1914 3.0863

# 2
14
Lattice="-3.8984 1.0530 4.5475 -2.0542 -4.6239 3.3847 1.7704 -0.5536 5.7910" Properties=species:S:1:pos:R:3 comment="PBE+U Fe3O4, relaxed" total_energy_ev_per_atom=-6.67 density_g_cm3=4.86 crystal_system=orthorhombic space_group="Imma, No. 74" pbc="T T T"
O -2.0668 -3.2589 5.1982
O -2.9040 -0.5257 5.7305
O -0.2510 -1.2778 6.3127
O -3.9313 -2.8469 7.4106
O -2.1155 -0.8656 8.5249
O -3.1288 -3.1395 10.1899
O -1.0534 -0.9849 3.5333
O -1.2782 -3.5989 7.9929
Fe -0.1419 -2.5887 4.5878
Fe -0.5230 -0.4847 1.7571
Fe -2.9763 -1.7854 3.9661
Fe -2.0911 -2.0622 6.8615
Fe -3.1182 -4.3741 8.5539
Fe -3.6592 -3.6398 11.9661

# 3
6
Lattice="-3.2234 2.1483 4.2967 1.4180 -0.0847 -5.6079 -2.6850 -2.7540 -0.6373" Properties=species:S:1:pos:R:3 comment="PBE+U FeO2, relaxed" total_energy_ev_per_atom=-6.05 dos_ef_per_ev_atom=0.5138 density_g_cm3=4.41 crystal_system=orthorhombic space_group="Cmcm, No. 63" pbc="T T T"
O -0.6048 -0.1230 -2.8830
O -3.8855 -0.5675 0.9344
O -4.9952 -0.0336 3.3024
O 0.5048 -0.6568 -5.2510
Fe -2.1620 -1.3966 -2.7434
Fe -2.3283 0.7062 0.7949

# 4
28
Lattice="2.9469 0.0000 0.0000 0.0000 9.8515 0.0254 0.0000 0.0313 9.9225" Properties=species:S:1:pos:R:3 comment="PBE+U Fe3O4, relaxed" total_energy_ev_per_atom=-6.54 dos_ef_per_ev_atom=0.0195 density_g_cm3=5.34 crystal_system=monoclinic space_group="Pc, No. 7" pbc="T T T"
O 2.1433 2.4911 5.0601
O 2.2222 7.6474 2.4799
O 2.2120 5.1039 1.2251
O 0.7665 2.1228 7.4715
O 2.1574 5.3595 3.7941
O 0.7247 2.7217 2.4672
O 0.8036 7.4169 5.0728
O 0.7349 0.1782 1.2124
O 2.1804 7.0486 7.4842
O 0.7895 0.4338 3.7814
O 2.3535 9.7076 6.1110
O 0.7386 7.3319 0.1220
O 0.7356 4.7582 8.8699
O 0.5934 4.7818 6.0983
O 2.2083 2.4062 0.1093
O 2.2113 9.6839 8.8826
Fe 0.7784 1.2281 5.6657
Fe 2.1685 6.1539 5.6784
Fe 0.7523 8.5031 7.1912
Fe 0.7350 1.1634 9.1667
Fe 0.7337 3.7237 0.7097
Fe 2.1946 3.5774 7.1785
Fe 2.2721 8.7208 4.2577
Fe 0.7376 6.2279 2.5623
Fe 2.2119 6.0891 9.1794
Fe 2.2093 1.3022 2.5496
Fe 2.2132 8.6494 0.7223
Fe 0.6748 3.7951 4.2450

# 5
12
Lattice="3.7855 -0.0004 0.0000 -1.8933 6.1006 -0.0897 0.0005 -2.0041 6.1303" Properties=species:S:1:pos:R:3 comment="PBE+U FeO2, relaxed" total_energy_ev_per_atom=-6.12 dos_ef_per_ev_atom=0.2778 density_g_cm3=4.14 crystal_system=monoclinic space_group="C2/m, No. 12" pbc="T T T"
O -0.0017 1.1078 0.0195
O -0.0002 1.9739 3.9416
O 1.8924 4.1403 3.6375
O 1.8945 2.9884 6.0212
O 0.0004 -0.0442 2.4032
O 0.0000 3.6258 1.3983
O 1.8928 0.4703 4.6424
O 1.8930 2.1222 2.0991
Fe 0.0001 1.7375 1.7723
Fe 1.8927 4.2344 1.6381
Fe 1.8927 2.3586 4.2684
Fe 0.0000 -0.1383 4.4026

# 6
14
Lattice="-0.2889 -5.2174 -3.8103 -2.0278 -5.6511 2.4035 -5.7395 -2.3952 -1.7733" Properties=species:S:1:pos:R:3 comment="PBE+U Fe3O4, relaxed" total_energy_ev_per_atom=-6.03 dos_ef_per_ev_atom=0.4317 density_g_cm3=4.02 crystal_system=cubic space_group="F-43m, No. 216" pbc="T T T"
O -7.0663 -11.6340 -2.7894
O -4.1477 -10.4160 -1.8877
O -6.1079 -6.1178 -2.1362
O -3.0650 -7.6934 -3.2734
O -6.9194 -8.9808 -0.8518
O -2.9037 -4.7807 -1.1463
O -4.0358 -7.9355 0.1955
O -6.0351 -8.7603 -4.0117
Fe -0.8623 -1.4197 -0.3404
Fe -2.0219 -4.6513 1.0341
Fe -6.0421 -9.9478 -2.3851
Fe -4.1445 -2.7894 -1.3545
Fe -1.0275 -4.4033 -2.5194
Fe -2.0140 -3.3159 -0.7950

# 7
21
Lattice="-0.6376 -5.3231 4.4563 4.9392 2.0059 0.8635 -3.6062 5.1634 2.5320" Properties=species:S:1:pos:R:3 comment="PBE+U Fe10O11, relaxed" total_energy_ev_per_atom=-6.63 density_g_cm3=5.33 crystal_system=triclinic space_group="P-1, No. 2" pbc="T T T"
O -1.7976 3.7005 2.2758
O -1.0400 1.0101 3.3450
O -0.1377 -1.6886 4.6232
O -0.7446 0.7341 6.4346
O 4.0201 0.5287 2.5306
O 0.8331 3.5348 3.2285
O 1.7354 0.8361 4.5066
O 2.1508 -1.6586 2.6599
O -3.3247 1.3176 5.3211
O 2.4930 -1.8542 5.5759
O 1.4400 1.1121 1.4171
Fe 3.4447 -0.6881 4.1378
Fe -0.3305 2.3153 1.7320
Fe -2.7493 2.5344 3.7139
Fe -0.6711 4.8650 3.5698
Fe 2.5982 2.1376 2.8467
Fe 0.5128 -0.3204 2.9867
Fe 1.0259 -0.4690 6.1197
Fe 1.3665 -3.0187 4.2819
Fe -1.9027 -0.2914 5.0050
Fe 0.1826 2.1666 4.8650

# 8
12
Lattice="-5.7348 0.7676 0.4231 -3.3954 -0.8582 -4.6250 -3.5647 -4.5735 -0.1790" Properties=species:S:1:pos:R:3 comment="PBE+U FeO2, relaxed" total_energy_ev_per_atom=-5.91 dos_ef_per_ev_atom=0.4246 density_g_cm3=4.23 crystal_system=trigonal space_group="R3m, No. 160" pbc="T T T"
O -3.2085 -2.6528 -0.6325
O -6.3831 -2.5302 -0.5612
O -7.8297 -2.8766 -2.7019
O -3.1320 -0.9749 -2.6404
O -4.1885 -0.2406 -0.3606
O -6.3026 -0.7640 -2.6747
O -1.7259 -0.6341 -0.5956
O -5.2711 -3.3031 -2.9609
Fe -6.4492 -2.1700 -3.9947
Fe -7.6477 -1.3370 -1.4085
Fe -9.5917 -3.5240 -3.3100
Fe -6.5359 -4.0734 -1.7169

# 9
14
Lattice="2.9542 0.0002 0.0056 1.4733 4.8931 0.0047 -0.0219 -0.0038 9.9842" Properties=species:S:1:pos:R:3 comment="PBE+U Fe3O4, relaxed" total_energy_ev_per_atom=-6.62 density_g_cm3=5.33 crystal_system=monoclinic space_group="P2_1, No. 4" pbc="T T T"
O 2.9418 2.1966 3.8698
O 1.4790 0.0725 0.0753
O 2.9371 4.8189 5.0717
O 2.9530 2.2858 1.1270
O 1.4590 2.6050 6.1163
O 1.4709 4.5176 2.5292
O 1.4572 2.6917 8.8596
O 2.9345 0.3722 7.5221
Fe 1.4751 1.1484 2.4177
Fe 1.4767 3.6430 0.7511
Fe 2.9366 1.2480 5.7448
Fe 2.9308 3.7410 7.4133
Fe 2.9336 1.3362 9.2329
Fe 1.4641 3.5520 4.2389

# 10
27
Lattice="-6.5633 -0.2076 -2.0918 -1.6130 -6.6141 -1.0713 -3.8042 -2.0866 5.3545" Properties=species:S:1:pos:R:3 comment="PBE+U Fe13O14, relaxed" total_energy_ev_per_atom=-6.63 dos_ef_per_ev_atom=0.4901 density_g_cm3=5.44 crystal_system=trigonal space_group="R-3, No. 148" pbc="T T T"
O -3.0625 -2.2772 0.5602
O -6.0093 -2.3711 0.9940
O -8.9684 -2.3881 1.3522
O -5.9713 -6.5372 1.1973
O -7.6740 -4.5736 -0.1293
O -6.4626 -2.5725 -1.9768
O -7.2539 -4.4290 2.7547
O -3.0122 -6.5202 0.8391
O -4.3066 -4.3347 2.3207
O -5.6805 -2.1762 3.9097
O -4.7266 -4.4793 -0.5633
O -8.9181 -6.6311 1.6312
O -5.5180 -6.3358 4.1681
O -6.3000 -6.7321 -1.7183
Fe -4.5367 -6.6671 -0.5657
Fe -2.8822 -4.4381 0.6289
Fe -7.4438 -2.2412 2.7571
Fe -7.7038 -6.7697 -0.1613
Fe -6.4972 -4.6798 -1.9804
Fe -4.7500 -2.2784 -0.8033
Fe -5.9903 -4.4541 1.0957
Fe -4.2768 -2.1386 2.3527
Fe -7.2305 -6.6298 2.9947
Fe -9.0983 -4.4702 1.5625
Fe -5.4834 -4.2285 4.1717
Fe -7.7389 -2.3094 -0.3577
Fe -4.2417 -6.5989 2.5491

# 11
12
Lattice="2.9356 0.0000 0.0000 0.0000 4.5350 0.0000 0.0000 0.0000 9.2804" Properties=species:S:1:pos:R:3 comment="PBE+U FeO2, relaxed" total_energy_ev_per_atom=-5.98 dos_ef_per_ev_atom=0.0000 density_g_cm3=4.72 crystal_system=orthorhombic space_group="Pnma, No. 62" pbc="T T T"
Fe 2.2017 0.0763 8.0125
Fe 0.7339 4.4587 1.2679
Fe 2.2017 2.1912 3.3723
Fe 0.7339 2.3438 5.9082
O 2.2017 3.2316 4.9824
O 0.7339 3.6344 7.2866
O 0.7339 0.9641 8.9382
O 0.7339 1.3034 4.2980
O 2.2017 3.5709 0.3422
O 0.7339 3.1680 2.6464
O 2.2017 0.9005 1.9938
O 2.2017 1.3669 6.6340

# 12
22
Lattice="1.4702 4.7913 0.0157 -1.4702 4.7913 0.0157 0.0000 2.4532 17.3626" Properties=species:S:1:pos:R:3 comment="PBE+U Fe9O13, relaxed" total_energy_ev_per_atom=-6.16 density_g_cm3=4.83 crystal_system=monoclinic space_group="C2/m, No. 12" pbc="T T T"
O 0.0000 5.0106 10.5267
O 0.0000 6.9882 1.1312
O 0.0000 4.4470 2.2684
O 0.0000 9.4028 8.2078
O 0.0000 2.6330 9.1862
O 0.0000 5.0475 16.2628
O 0.0000 7.5888 15.1256
O 0.0000 7.0251 6.8673
O 0.0000 10.4030 13.4425
O 0.0000 0.0000 0.0000
O 0.0000 1.6327 3.9515
O 0.0000 7.5041 11.6009
O 0.0000 4.5316 5.7931
Fe 0.0000 0.9266 2.3015
Fe 0.0000 8.5243 16.7251
Fe 0.0000 8.5247 10.0336
Fe 0.0000 6.0179 8.6970
Fe 0.0000 11.0148 11.7542
Fe 0.0000 1.0210 5.6398
Fe 0.0000 11.1092 15.0925
Fe 0.0000 3.5110 7.3604
Fe 0.0000 3.5114 0.6689

# 13
14
Lattice="3.2854 0.0000 0.0000 0.0000 12.2658 0.0000 0.0000 0.0000 5.8489" Properties=species:S:1:pos:R:3 comment="PBE+U Fe3O4, relaxed" total_energy_ev_per_atom=-5.77 dos_ef_per_ev_atom=0.1602 density_g_cm3=3.26 crystal_system=orthorhombic space_group="Pmma, No. 51" pbc="T T T"
O 0.0000 6.1329 2.9245
O 0.0000 9.1005 2.2203
O 0.0000 12.2374 1.4622
O 0.0000 0.0284 4.3867
O 0.0000 6.1329 0.0000
O 0.0000 9.1005 0.7041
O 0.0000 3.1653 5.1448
O 0.0000 3.1653 3.6286
Fe 0.0000 1.4360 0.1093
Fe 0.0000 7.1682 1.4622
Fe 0.0000 10.8299 5.7396
Fe 0.0000 5.0976 4.3867
Fe 0.0000 1.4360 2.8152
Fe 0.0000 10.8299 3.0337

# 14
9
Lattice="-0.8489 2.7485 0.6100 -3.3723 -0.3987 -2.8945 -4.5780 -0.9998 5.2228" Properties=species:S:1:pos:R:3 comment="PBE+U FeO2, relaxed" total_energy_ev_per_atom=-5.97 dos_ef_per_ev_atom=0.0177 density_g_cm3=4.86 crystal_system=monoclinic space_group="C2/m, No. 12" pbc="T T T"
O -5.1120 -0.2032 0.9464
O -4.6501 -0.5949 3.3545
O -4.1475 1.9704 -0.4160
O -7.2022 0.3434 2.6655
O -1.5955 1.0325 0.2729
O -3.6855 1.5786 1.9921
Fe -3.3799 0.4461 0.4324
Fe -5.4176 0.9293 2.5061
Fe -7.9495 -1.3855 2.3284

# 15
3
Lattice="-1.7229 -0.9321 4.4271 -3.0254 -2.8327 2.5018 -0.2349 -3.3607 3.4766" Properties=species:S:1:pos:R:3 comment="PBE+U FeO2, relaxed" total_energy_ev_per_atom=-6.06 dos_ef_per_ev_atom=0.8306 density_g_cm3=4.13 crystal_system=trigonal space_group="R-3m, No. 166" pbc="T T T"
O -3.7974 -5.4299 7.9293
O -1.1858 -1.6957 2.4761
Fe -2.4916 -3.5628 5.2027

# 16
18
Lattice="-0.7068 -5.1034 0.9297 3.0713 4.2177 0.4327 -5.3381 2.7532 11.0544" Properties=species:S:1:pos:R:3 comment="PBE+U Fe4O5, relaxed" total_energy_ev_per_atom=-6.47 density_g_cm3=5.54 crystal_system=orthorhombic space_group="Cmcm, No. 63" pbc="T T T"
O -1.5300 4.8080 8.8021
O 0.9092 4.5077 4.3736
O 1.4932 0.8532 0.9841
O -2.1524 -0.1794 6.6398
O -0.8213 2.0469 5.7770
O -1.4437 -2.9406 3.6147
O -3.8829 -2.6402 8.0432
O 2.0111 3.9394 2.0917
O -4.4669 1.0143 11.4327
O -4.9848 -2.0719 10.3251
Fe 0.0000 0.0000 0.0000
Fe -2.6641 4.1902 10.3688
Fe -1.7714 -1.5688 5.0753
Fe -0.1097 0.3506 3.4392
Fe -2.8640 1.5169 8.9776
Fe -1.2023 3.4362 7.3415
Fe -0.3096 -2.3228 2.0480
Fe -2.6691 1.3766 5.5272

# 17
13
Lattice="5.0543 -2.8961 0.0586 5.0543 2.8961 0.0586 3.3402 0.0000 4.7728" Properties=species:S:1:pos:R:3 comment="PBE+U Fe5O8, relaxed" dos_ef_per_ev_atom=0.1392 density_g_cm3=4.88 crystal_system=trigonal space_group="R-3m, No. 166" relative_energy_ev_per_atom=0.000 pbc="T T T"
O 8.5364 0.0000 1.4141
O 3.4814 0.0000 1.2659
O 7.7224 1.3753 3.6528
O 9.9674 0.0000 3.6242
O 4.9124 0.0000 3.4759
O 5.7264 -1.3753 1.2372
O 5.7264 1.3753 1.2372
O 7.7224 -1.3753 3.6528
Fe 1.6069 0.0000 0.5843
Fe 11.8420 0.0000 4.3058
Fe 4.1973 -1.4480 2.4157
Fe 4.1973 1.4480 2.4157
Fe 5.0543 0.0000 0.0586

# 18
20
Lattice="2.9307 0.0000 0.0000 0.0000 9.6387 0.0000 0.0000 0.0000 8.7231" Properties=species:S:1:pos:R:3 comment="PBE+U Fe3O2, relaxed" total_energy_ev_per_atom=-5.98 dos_ef_per_ev_atom=0.1674 density_g_cm3=5.38 crystal_system=orthorhombic space_group="Pnma, No. 62" pbc="T T T"
O 0.7327 4.0523 2.3652
O 0.7327 3.5949 7.9603
O 2.1980 6.0437 0.7628
O 0.7327 0.7670 6.7267
O 2.1980 5.5863 6.3579
O 2.1980 8.4143 5.1243
O 0.7327 1.2244 3.5988
O 2.1980 8.8717 1.9964
Fe 2.1980 1.0728 5.1801
Fe 2.1980 8.6919 7.2012
Fe 0.7327 5.8921 7.9046
Fe 2.1980 5.7661 2.8396
Fe 0.7327 6.6862 5.2461
Fe 0.7327 8.5659 3.5430
Fe 2.1980 3.7465 0.8185
Fe 0.7327 0.9468 1.5219
Fe 0.7327 3.8725 5.8835
Fe 0.7327 7.7718 0.8845
Fe 2.1980 1.8669 7.8386
Fe 2.1980 2.9524 3.4770